Density functional theory data (GGA-PBEsol) for a relaxed HPd crystal.

Lattice parameters (Å, degrees): 2.8728 2.8728 2.8728 60.00 60.00 60.00
Positions (direct):
H1 0.5000 0.5000 0.5000
Pd1 0.0000 0.0000 0.0000

Output
Distance to the lowest polymorph of the same formula   8.2 meV per atom
DFT total energy   -9.54 eV/cell
Symmetry   Fm-3m


Density functional theory data (GGA-PBEsol) for a relaxed HPd crystal.

Lattice parameters (Å, degrees): 2.9457 2.9457 2.9457 60.00 60.00 60.00
Positions (direct):
H1 0.5000 0.5000 0.5000
Pd1 0.2500 0.2500 0.2500

Output
Distance to the lowest polymorph of the same formula   0.0 meV per atom
DFT total energy   -9.56 eV/cell
Symmetry   F-43m


Density functional theory data (GGA-PBEsol) for a relaxed H3Pd4 crystal.

Lattice parameters (Å, degrees): 2.8471 2.8471 9.4227 81.31 81.31 60.00
Positions (direct):
H1 0.2586 0.2586 0.2241
H2 0.5000 0.5000 0.5000
H3 0.7414 0.7414 0.7759
Pd1 0.1247 0.1247 0.6258
Pd2 0.8753 0.8753 0.3742
Pd3 0.3740 0.3740 0.8780
Pd4 0.6260 0.6260 0.1220

Output
DFT total energy   -34.70 eV/cell
Symmetry   R-3m


Density functional theory data (GGA-PBEsol) for a relaxed HPd crystal.

Lattice parameters (Å, degrees): 2.8769 2.8769 5.0484 90.00 90.00 120.00
Positions (direct):
H1 0.6667 0.3333 0.9888
H2 0.3333 0.6667 0.4888
Pd1 0.6667 0.3333 0.6362
Pd2 0.3333 0.6667 0.1362

Output
Distance to the lowest polymorph of the same formula   14.1 meV per atom
DFT total energy   -19.06 eV/cell
Symmetry   P6_3mc


Density functional theory data (GGA-PBEsol) for a relaxed H2PdPt crystal.

Lattice parameters (Å, degrees): 4.1671 4.1671 5.1787 113.72 113.72 90.00
Positions (direct):
H1 0.3677 0.8750 0.2500
H2 0.8823 0.3750 0.2500
H3 0.1250 0.1177 0.7500
H4 0.6250 0.6323 0.7500
Pt1 0.2500 0.7500 0.5000
Pt2 0.0000 0.0000 0.0000
Pd1 0.7500 0.2500 0.5000
Pd2 0.5000 0.5000 0.0000

Output
DFT total energy   -39.43 eV/cell
Symmetry   I-42d


Density functional theory data (GGA-PBEsol) for a relaxed H2PdPt2 crystal.

Lattice parameters (Å, degrees): 3.8665 5.2488 5.2488 90.00 90.00 90.00
Positions (direct):
H1 0.0000 0.1786 0.6786
H2 0.0000 0.6786 0.8214
H3 0.0000 0.8214 0.3214
H4 0.0000 0.3214 0.1786
Pd1 0.0000 0.0000 0.0000
Pd2 0.0000 0.5000 0.5000
Pt1 0.5000 0.1814 0.6814
Pt2 0.5000 0.6814 0.8186
Pt3 0.5000 0.8186 0.3186
Pt4 0.5000 0.3186 0.1814

Output
DFT total energy   -53.09 eV/cell
Symmetry   P4/mbm